! AlInHg2Cl4 GGA-PBE optimized geometry; values from VASP
! formation energy without anion corrections = -7.907 eV/f.u.
! symmetry = No. 1
&SYSTEM
  ibrav = 0, nat = 8, ntyp = 4
/
ATOMIC_SPECIES
Hg 200.59 Hg.upf
Al 26.98 Al.upf
Cl 35.45 Cl.upf
In 114.82 In.upf
CELL_PARAMETERS angstrom
-7.017 5.217 2.149
-4.667 -5.334 -0.213
7.788 -0.299 3.121
ATOMIC_POSITIONS angstrom
Hg 1.925 -0.969 1.160
Al -5.123 -0.175 2.998
Cl -4.848 -2.151 2.147
Cl 5.537 -0.299 2.950
Cl -6.354 1.009 1.665
Cl -3.244 0.834 3.291
Hg -0.546 -2.037 3.226
In -2.200 -3.074 0.685